--- 1 ---
An optimized crystal structure of DyYTmTl. Source: Alexandria via LeMat-Bulk, functional PBE.

Lattice parameters (Å, degrees): 4.836 4.855 4.820 90.00 90.00 90.00
Site moments in Bohr magnetons follow the coordinates.
Fractional coordinates of all 4 atoms:
Y (0.000, 0.000, 0.000)  0.20
Tm (0.500, 0.500, 0.000)  0.26
Tl (0.500, 0.000, 0.500)  -0.01
Dy (0.000, 0.500, 0.500)  0.25

## Properties
M_tot = 0.238 μB per atom
crystal system = orthorhombic


--- 2 ---
An optimized crystal structure of DyYTmTl. Source: Alexandria via LeMat-Bulk, functional PBE.

Lattice parameters (Å, degrees): 5.450 5.450 5.450 60.00 60.00 60.00
Site moments in Bohr magnetons follow the coordinates.
Fractional coordinates of all 4 atoms:
Dy (0.250, 0.250, 0.250)  0.31
Tl (0.000, 0.000, 0.000)  0.00
Y (0.750, 0.750, 0.750)  0.25
Tm (0.500, 0.500, 0.500)  0.40

## Properties
M_tot = 0.344 μB per atom
crystal system = cubic


Stability check: which of them is least stable? 2.


--- 1 ---
An optimized crystal structure of Dy5Y4Tl. Source: Alexandria via LeMat-Bulk, functional PBE.

Lattice parameters (Å, degrees): 3.573 3.573 24.402 90.00 90.00 90.00
Fractional coordinates of all 10 atoms:
Y (0.000, 0.000, 0.603)
Y (0.000, 0.000, 0.397)
Y (0.000, 0.000, 0.810)
Y (0.000, 0.000, 0.190)
Tl (0.000, 0.000, 0.000)
Dy (0.500, 0.500, 0.706)
Dy (0.500, 0.500, 0.913)
Dy (0.500, 0.500, 0.087)
Dy (0.500, 0.500, 0.294)
Dy (0.500, 0.500, 0.500)

## Properties
M_tot = 0.000 μB per atom
crystal system = tetragonal


--- 2 ---
An optimized crystal structure of Dy5Y4Tl. Source: Alexandria via LeMat-Bulk, functional PBE.

Lattice parameters (Å, degrees): 5.819 8.048 8.048 82.49 68.81 68.81
Fractional coordinates of all 10 atoms:
Dy (0.769, 0.000, 0.371)
Dy (0.769, 0.371, 0.000)
Dy (0.139, 0.000, 0.629)
Dy (0.664, 0.000, 0.000)
Dy (0.139, 0.629, 0.000)
Tl (0.183, 0.000, 0.000)
Y (0.146, 0.316, 0.316)
Y (0.462, 0.316, 0.684)
Y (0.462, 0.684, 0.316)
Y (0.778, 0.684, 0.684)

## Properties
M_tot = 0.000 μB per atom
crystal system = tetragonal


Stability check: which of them is least stable? 2.


--- 1 ---
An optimized crystal structure of DyYTl. Source: Alexandria via LeMat-Bulk, functional PBE.

Lattice parameters (Å, degrees): 4.911 6.751 6.751 90.19 90.00 90.00
Site moments in Bohr magnetons follow the coordinates.
Fractional coordinates of all 6 atoms:
Dy (0.000, 0.312, 0.312)  0.23
Dy (0.000, 0.688, 0.688)  0.23
Y (0.500, 0.811, 0.189)  0.19
Y (0.500, 0.189, 0.811)  0.19
Tl (0.500, 0.500, 0.500)  -0.01
Tl (0.000, 0.000, 0.000)  -0.01

## Properties
M_tot = 0.321 μB per atom
crystal system = orthorhombic


--- 2 ---
An optimized crystal structure of DyYTl. Source: Alexandria via LeMat-Bulk, functional PBE.

Lattice parameters (Å, degrees): 3.696 5.258 5.258 120.00 90.00 90.00
Fractional coordinates of all 3 atoms:
Y (0.614, 0.333, 0.667)
Tl (0.310, 0.667, 0.333)
Dy (0.076, 0.000, 0.000)

## Properties
M_tot = 0.000 μB per atom
crystal system = trigonal


--- 3 ---
An optimized crystal structure of DyYTl. Source: Alexandria via LeMat-Bulk, functional PBE.

Lattice parameters (Å, degrees): 5.418 5.418 6.727 90.00 90.00 119.97
Site moments in Bohr magnetons follow the coordinates.
Fractional coordinates of all 6 atoms:
Tl (0.667, 0.833, 0.250)  -0.01
Tl (0.333, 0.167, 0.750)  -0.01
Y (0.333, 0.167, 0.250)  0.12
Y (0.667, 0.833, 0.750)  0.12
Dy (0.000, 0.500, 0.500)  0.22
Dy (0.000, 0.500, 0.000)  0.22

## Properties
M_tot = 0.175 μB per atom
crystal system = hexagonal


Stability check: which of them is least stable? 1.


--- 1 ---
An optimized crystal structure of DyYTl. Source: Alexandria via LeMat-Bulk, functional PBE.

Lattice parameters (Å, degrees): 5.190 5.190 8.979 73.20 73.20 60.00
Fractional coordinates of all 6 atoms:
Dy (0.125, 0.125, 0.624)
Dy (0.875, 0.875, 0.376)
Y (0.376, 0.376, 0.873)
Y (0.624, 0.624, 0.127)
Tl (0.750, 0.750, 0.751)
Tl (0.250, 0.250, 0.249)

## Properties
M_tot = 0.000 μB per atom
crystal system = trigonal


--- 2 ---
An optimized crystal structure of DyYTl. Source: Alexandria via LeMat-Bulk, functional PBE.

Lattice parameters (Å, degrees): 3.586 3.586 7.301 104.22 104.22 90.00
Fractional coordinates of all 3 atoms:
Dy (0.323, 0.323, 0.647)
Tl (0.667, 0.667, 0.334)
Y (0.010, 0.010, 0.019)

## Properties
M_tot = 0.000 μB per atom
crystal system = tetragonal


Stability check: which of them is least stable? 1.